# PaTiS2N

A geometry-optimized PaTiS2N structure (PBE, Alexandria).

POSCAR file:
```
PaTiS2N
1.0
3.6684 0.0000 0.0000
0.0000 3.6684 0.0000
0.0000 0.0000 12.5241
Pa Ti S N
2 2 4 2
Cartesian
0.9171 0.9171 1.3044 Pa
2.7513 2.7513 11.2197 Pa
0.9171 0.9171 7.3297 Ti
2.7513 2.7513 5.1944 Ti
0.9171 0.9171 4.9035 S
0.9171 0.9171 9.9005 S
2.7513 2.7513 2.6236 S
2.7513 2.7513 7.6205 S
0.9171 2.7513 0.0000 N
2.7513 0.9171 0.0000 N
```

Properties
As for the formation energy from raw total energies: -1.592 eV/atom.



# YPaS2N

A geometry-optimized YPaS2N structure (PBE, Alexandria).

POSCAR file:
```
YPaS2N
1.0
3.8326 0.0000 0.0000
0.0000 3.8326 0.0000
0.0000 0.0000 13.4268
Y Pa S N
2 2 4 2
Cartesian
0.9582 0.9582 1.3952 Y
2.8745 2.8745 12.0316 Y
0.9582 0.9582 7.9534 Pa
2.8745 2.8745 5.4733 Pa
0.9582 0.9582 4.1572 S
0.9582 0.9582 11.9901 S
2.8745 2.8745 1.4367 S
2.8745 2.8745 9.2696 S
0.9582 2.8745 6.7134 N
2.8745 0.9582 6.7134 N
```

Properties
As for the formation energy from raw total energies: -1.945 eV/atom.



# ZrPaS2N

A geometry-optimized ZrPaS2N structure (PBE, Alexandria).

POSCAR file:
```
ZrPaS2N
1.0
3.7238 0.0000 0.0000
0.0000 3.7238 0.0000
0.0000 0.0000 12.9061
Zr Pa S N
2 2 4 2
Cartesian
0.9309 0.9309 1.1385 Zr
2.7928 2.7928 11.7676 Zr
0.9309 0.9309 7.7366 Pa
2.7928 2.7928 5.1695 Pa
0.9309 0.9309 3.8495 S
0.9309 0.9309 11.4117 S
2.7928 2.7928 1.4944 S
2.7928 2.7928 9.0565 S
0.9309 2.7928 6.4530 N
2.7928 0.9309 6.4530 N
```

Properties
As for the formation energy from raw total energies: -1.722 eV/atom.



# ZrPaSN2

A geometry-optimized ZrPaSN2 structure (PBE, Alexandria).

POSCAR file:
```
ZrPaSN2
1.0
6.2086 0.0000 0.0000
0.0000 3.9040 0.0000
-2.5843 0.0000 7.0220
Zr Pa S N
2 2 2 4
Cartesian
-0.0488 0.9760 2.9632 Zr
3.6731 2.9280 4.0588 Zr
-1.1140 0.9760 6.5798 Pa
4.7383 2.9280 0.4422 Pa
2.1415 2.9280 1.8838 S
1.4829 0.9760 5.1382 S
-0.9452 2.9280 2.6444 N
-2.1304 2.9280 6.2081 N
5.7547 0.9760 0.8139 N
4.5695 0.9760 4.3777 N
```

Properties
As for the formation energy from raw total energies: -1.632 eV/atom.